(1)
DFT (PBE) results for a geometry-optimized CuRhW structure.

Calculated values
energy above the lowest structure with this stoichiometry	0.1426	eV per atom
symmetry	Cmcm
formation energy	0.119	eV per atom

Cell lengths 4.5797, 8.1339, 4.6201 Å; angles 90.00, 90.00, 90.00 degrees
Positions (direct):
Cu: 0.0000 0.0718 0.2500
Cu: 0.0000 0.9282 0.7500
Cu: 0.5000 0.4282 0.7500
Cu: 0.5000 0.5718 0.2500
Rh: 0.0000 0.4056 0.2500
Rh: 0.0000 0.5944 0.7500
Rh: 0.5000 0.0944 0.7500
Rh: 0.5000 0.9056 0.2500
W: 0.0000 0.2561 0.7500
W: 0.0000 0.7439 0.2500
W: 0.5000 0.2439 0.2500
W: 0.5000 0.7561 0.7500

=====

(2)
DFT (PBE) results for a geometry-optimized KMg2Te structure.

Calculated values
symmetry	I-4m2
formation energy (no corrections)	-0.113	eV per atom

Cell lengths 4.9004, 4.9004, 10.2041 Å; angles 90.00, 90.00, 90.00 degrees
Positions (direct):
K: 0.0000 0.0000 0.0000
K: 0.5000 0.5000 0.5000
Mg: 0.0000 0.0000 0.5000
Mg: 0.0000 0.5000 0.7500
Mg: 0.5000 0.0000 0.2500
Mg: 0.5000 0.5000 0.0000
Te: 0.0000 0.5000 0.2500
Te: 0.5000 0.0000 0.7500

=====

(3)
DFT (PBE) results for a geometry-optimized SmDy8Sc6 structure.

Calculated values
symmetry	R-3
formation energy	0.188	eV per atom

Cell lengths 7.9009, 7.9009, 7.9009 Å; angles 72.68, 72.68, 72.68 degrees
Positions (direct):
Sm: 0.0000 0.0000 0.0000
Dy: 0.0673 0.7724 0.6359
Dy: 0.2276 0.3641 0.9327
Dy: 0.3641 0.9327 0.2276
Dy: 0.4092 0.4092 0.4092
Dy: 0.5908 0.5908 0.5908
Dy: 0.6359 0.0673 0.7724
Dy: 0.7724 0.6359 0.0673
Dy: 0.9327 0.2276 0.3641
Sc: 0.0587 0.6124 0.2899
Sc: 0.2899 0.0587 0.6124
Sc: 0.3876 0.7101 0.9413
Sc: 0.6124 0.2899 0.0587
Sc: 0.7101 0.9413 0.3876
Sc: 0.9413 0.3876 0.7101

=====

(4)
DFT (PBE) results for a geometry-optimized Te3Se structure.

Calculated values
symmetry	R-3m
formation energy (no corrections)	0.070	eV per atom

Cell lengths 8.8390, 8.8390, 5.3447 Å; angles 90.00, 90.00, 120.00 degrees
Positions (direct):
Te: 0.0000 0.5000 0.0000
Te: 0.1667 0.3333 0.3333
Te: 0.1667 0.8333 0.3333
Te: 0.3333 0.1667 0.6667
Te: 0.5000 0.0000 0.0000
Te: 0.5000 0.5000 0.0000
Te: 0.6667 0.8333 0.3333
Te: 0.8333 0.1667 0.6667
Te: 0.8333 0.6667 0.6667
Se: 0.0000 0.0000 0.0000
Se: 0.3333 0.6667 0.6667
Se: 0.6667 0.3333 0.3333

=====

(5)
DFT (PBE) results for a geometry-optimized Dy2Ni3Rh structure.

Calculated values
symmetry	R-3m
formation energy	-0.545	eV per atom

Cell lengths 5.2301, 5.2301, 5.2301 Å; angles 57.81, 57.81, 57.81 degrees
Positions (direct):
Dy: 0.1225 0.1225 0.1225
Dy: 0.8775 0.8775 0.8775
Ni: 0.0000 0.5000 0.5000
Ni: 0.5000 0.0000 0.5000
Ni: 0.5000 0.5000 0.0000
Rh: 0.5000 0.5000 0.5000

=====

(6)
DFT (PBE) results for a geometry-optimized Ca7P3N2 structure.

Calculated values
symmetry	Cmmm
formation energy (no corrections)	-0.919	eV per atom

Cell lengths 12.2101, 12.2101, 4.5808 Å; angles 90.00, 90.00, 157.60 degrees
Positions (direct):
Ca: 0.0000 0.0000 0.0000
Ca: 0.0996 0.9004 0.5000
Ca: 0.1991 0.8009 0.0000
Ca: 0.4002 0.5998 0.0000
Ca: 0.5998 0.4002 0.0000
Ca: 0.8009 0.1991 0.0000
Ca: 0.9004 0.0996 0.5000
P: 0.3163 0.6837 0.5000
P: 0.5000 0.5000 0.5000
P: 0.6837 0.3163 0.5000
N: 0.1002 0.8998 0.0000
N: 0.8998 0.1002 0.0000

=====

(7)
DFT (PBE) results for a geometry-optimized In2SeF2 structure.

Calculated values
symmetry	I4/mmm
formation energy (no corrections)	-1.350	eV per atom

Cell lengths 3.7881, 3.7881, 12.7788 Å; angles 90.00, 90.00, 90.00 degrees
Positions (direct):
In: 0.0000 0.0000 0.1309
In: 0.0000 0.0000 0.8691
In: 0.5000 0.5000 0.3691
In: 0.5000 0.5000 0.6309
Se: 0.0000 0.0000 0.5000
Se: 0.5000 0.5000 0.0000
F: 0.0000 0.5000 0.2500
F: 0.0000 0.5000 0.7500
F: 0.5000 0.0000 0.2500
F: 0.5000 0.0000 0.7500

=====

(8)
DFT (PBE) results for a geometry-optimized Pr4Er structure.

Calculated values
energy above the lowest structure with this stoichiometry	0.0069	eV per atom
symmetry	I4/mmm
formation energy	0.020	eV per atom

Cell lengths 3.6834, 3.6834, 25.8843 Å; angles 90.00, 90.00, 90.00 degrees
Positions (direct):
Pr: 0.0000 0.0000 0.0969
Pr: 0.0000 0.0000 0.3016
Pr: 0.0000 0.0000 0.6984
Pr: 0.0000 0.0000 0.9031
Pr: 0.5000 0.5000 0.1984
Pr: 0.5000 0.5000 0.4031
Pr: 0.5000 0.5000 0.5969
Pr: 0.5000 0.5000 0.8016
Er: 0.0000 0.0000 0.5000
Er: 0.5000 0.5000 0.0000

=====

(9)
DFT (PBE) results for a geometry-optimized Ga4IBr3 structure.

Calculated values
symmetry	C2/m
formation energy (no corrections)	-0.477	eV per atom

Cell lengths 12.8051, 9.0448, 4.5156 Å; angles 90.00, 90.25, 90.00 degrees
Positions (direct):
Ga: 0.0000 0.2391 0.0000
Ga: 0.0000 0.7609 0.0000
Ga: 0.2451 0.0000 0.4971
Ga: 0.2549 0.5000 0.5029
Ga: 0.5000 0.2609 0.0000
Ga: 0.5000 0.7391 0.0000
Ga: 0.7451 0.5000 0.4971
Ga: 0.7549 0.0000 0.5029
I: 0.0000 0.5000 0.5000
I: 0.5000 0.0000 0.5000
Br: 0.0000 0.0000 0.5000
Br: 0.2500 0.2500 0.0000
Br: 0.2500 0.7500 0.0000
Br: 0.5000 0.5000 0.5000
Br: 0.7500 0.2500 0.0000
Br: 0.7500 0.7500 0.0000

=====

(10)
DFT (PBE) results for a geometry-optimized B5C7 structure.

Calculated values
energy above the lowest structure with this stoichiometry	0.1486	eV per atom
symmetry	P3m1
formation energy	0.407	eV per atom

Cell lengths 2.6459, 2.6459, 14.6208 Å; angles 90.00, 90.00, 120.00 degrees
Positions (direct):
B: 0.0000 0.0000 0.0000
B: 0.0000 0.0000 0.1168
B: 0.3333 0.6667 0.8036
B: 0.6667 0.3333 0.2854
B: 0.6667 0.3333 0.5300
C: 0.0000 0.0000 0.5442
C: 0.0000 0.0000 0.6587
C: 0.3333 0.6667 0.1663
C: 0.3333 0.6667 0.2723
C: 0.3333 0.6667 0.6930
C: 0.6667 0.3333 0.8509
C: 0.6667 0.3333 0.9470

=====

(11)
DFT (PBE) results for a geometry-optimized CrCuOs2 structure.

Calculated values
energy above the lowest structure with this stoichiometry	0.0829	eV per atom
symmetry	Pm
formation energy	0.240	eV per atom

Cell lengths 2.7061, 3.7970, 5.2082 Å; angles 90.00, 90.01, 90.00 degrees
Positions (direct):
Cr: 0.0000 0.0000 0.0000
Cu: 0.5013 0.5000 0.7625
Os: 0.0023 0.0000 0.5067
Os: 0.5020 0.5000 0.2600

=====

(12)
DFT (PBE) results for a geometry-optimized OsCNF2 structure.

Calculated values
energy above the lowest structure with this stoichiometry	0.0000	eV per atom
symmetry	P4/mmm
formation energy (no corrections)	0.620	eV per atom

Cell lengths 4.7733, 4.7733, 2.4407 Å; angles 90.00, 90.00, 90.00 degrees
Positions (direct):
Os: 0.0000 0.0000 0.0000
C: 0.5000 0.5000 0.5000
N: 0.5000 0.5000 0.0000
F: 0.0000 0.5000 0.5000
F: 0.5000 0.0000 0.5000

=====

Calculated total moment in order - 0.00 0.00 0.00 0.00 0.00 0.00 0.00 0.00 0.00 0.00 1.42 1.84 μB per formula unit